First-principles (PBE-GGA) data for an optimized crystal structure of RbMnPt, as listed in Alexandria via LeMat-Bulk.

Lattice parameters (Å, degrees): 7.7601 4.3875 12.0076 90.00 90.00 90.00
Each line ends with the local moment (μB).
Fractional coordinates of all 12 atoms:
Pt  0.6953  0.7500  0.5669  0.34
Pt  0.3047  0.2500  0.4331  0.34
Pt  0.1953  0.7500  0.9331  0.33
Pt  0.8047  0.2500  0.0669  0.33
Mn  0.5395  0.2500  0.5766  4.01
Mn  0.4605  0.7500  0.4234  4.01
Mn  0.0395  0.2500  0.9234  4.00
Mn  0.9605  0.7500  0.0766  4.00
Rb  0.6260  0.7500  0.8543  0.01
Rb  0.1260  0.7500  0.6457  0.01
Rb  0.8740  0.2500  0.3543  0.01
Rb  0.3740  0.2500  0.1457  0.01

Calculated values
Formation enthalpy at 0 K, eV/atom: 0.264
Final energy, eV for the cell shown: -61.55
Space-group type: Pnma (62)